# 1
The following is a DFT calculation (PBE) of a relaxed Nd6NiHg5 crystal.

Calculated formation energy: -413 meV/atom
Total moment: 0.00 Bohr magnetons per cell

Geometry as CIF:
```
data_Nd6NiHg5
_chemical_formula_sum 'Nd12 Ni2 Hg10'
_symmetry_space_group_name_H-M 'C 1 2/m 1'
_symmetry_Int_Tables_number 12
_cell_length_a 16.845
_cell_length_b 7.627
_cell_length_c 5.351
_cell_angle_alpha 90.00
_cell_angle_beta 108.45
_cell_angle_gamma 90.00
loop_
_symmetry_equiv_pos_as_xyz
'x,y,z'
'-x,-y,-z'
'-x,y,-z'
'x,-y,z'
'x+1/2,y+1/2,z'
'-x+1/2,-y+1/2,-z'
'-x+1/2,y+1/2,-z'
'x+1/2,-y+1/2,z'
loop_
_atom_site_label
_atom_site_type_symbol
_atom_site_fract_x
_atom_site_fract_y
_atom_site_fract_z
Nd1 Nd 0.000 0.229 0.000
Nd2 Nd 0.157 0.236 0.657
Ni1 Ni 0.000 0.000 0.500
Hg1 Hg 0.000 0.500 0.500
Hg2 Hg 0.167 0.500 0.167
Hg3 Hg 0.182 0.000 0.183
```

=====

# 2
The following is a DFT calculation (PBE) of a relaxed Nd4Ni2Hg5 crystal.

Calculated formation energy: -413 meV/atom
Total moment: 0.00 Bohr magnetons per cell

Geometry as CIF:
```
data_Nd4Ni2Hg5
_chemical_formula_sum 'Nd4 Ni2 Hg5'
_symmetry_space_group_name_H-M 'P 1 2/m 1'
_symmetry_Int_Tables_number 10
_cell_length_a 7.725
_cell_length_b 3.764
_cell_length_c 9.499
_cell_angle_alpha 90.00
_cell_angle_beta 93.38
_cell_angle_gamma 90.00
loop_
_symmetry_equiv_pos_as_xyz
'x,y,z'
'-x,-y,-z'
'-x,y,-z'
'x,-y,z'
loop_
_atom_site_label
_atom_site_type_symbol
_atom_site_fract_x
_atom_site_fract_y
_atom_site_fract_z
Nd1 Nd 0.179 0.000 0.345
Nd2 Nd 0.225 0.000 0.933
Ni1 Ni 0.067 0.500 0.125
Hg1 Hg 0.164 0.500 0.645
Hg2 Hg 0.442 0.500 0.169
Hg3 Hg 0.500 0.500 0.500
```

=====

# 3
The following is a DFT calculation (PBE) of a relaxed Nd3NiHg crystal.

Relative energy among the computed polymorphs: 0 meV/atom
Calculated formation energy: -261 meV/atom
Total moment: 0.00 Bohr magnetons per cell

Geometry as CIF:
```
data_Nd3NiHg
_chemical_formula_sum 'Nd12 Ni4 Hg4'
_symmetry_space_group_name_H-M 'C 1 2/m 1'
_symmetry_Int_Tables_number 12
_cell_length_a 11.956
_cell_length_b 5.313
_cell_length_c 9.701
_cell_angle_alpha 90.00
_cell_angle_beta 115.98
_cell_angle_gamma 90.00
loop_
_symmetry_equiv_pos_as_xyz
'x,y,z'
'-x,-y,-z'
'-x,y,-z'
'x,-y,z'
'x+1/2,y+1/2,z'
'-x+1/2,-y+1/2,-z'
'-x+1/2,y+1/2,-z'
'x+1/2,-y+1/2,z'
loop_
_atom_site_label
_atom_site_type_symbol
_atom_site_fract_x
_atom_site_fract_y
_atom_site_fract_z
Nd1 Nd 0.124 0.000 0.279
Nd2 Nd 0.124 0.500 0.930
Nd3 Nd 0.150 0.000 0.666
Ni1 Ni 0.104 0.000 0.979
Hg1 Hg 0.089 0.500 0.432
```

=====

# 4
The following is a DFT calculation (PBE) of a relaxed Nd7Ni2Hg2 crystal.

Calculated formation energy: -177 meV/atom
Total moment: 0.00 Bohr magnetons per cell

Geometry as CIF:
```
data_Nd7Ni2Hg2
_chemical_formula_sum 'Nd14 Ni4 Hg4'
_symmetry_space_group_name_H-M 'C m m m'
_symmetry_Int_Tables_number 65
_symmetry_space_group_name_Hall '-C 2 2'
_cell_length_a 8.025
_cell_length_b 11.457
_cell_length_c 7.199
_cell_angle_alpha 90.00
_cell_angle_beta 90.00
_cell_angle_gamma 90.00
loop_
_atom_site_label
_atom_site_type_symbol
_atom_site_fract_x
_atom_site_fract_y
_atom_site_fract_z
Nd1 Nd 0.000 0.000 0.000
Nd2 Nd 0.000 0.500 0.240
Nd3 Nd 0.250 0.250 0.249
Ni1 Ni 0.000 0.298 0.000
Hg1 Hg 0.178 0.000 0.500
```

=====

# 5
The following is a DFT calculation (PBE) of a relaxed Nd12NiHg6 crystal.

Calculated formation energy: -225 meV/atom
Total moment: 0.00 Bohr magnetons per cell

Geometry as CIF:
```
data_Nd12NiHg6
_chemical_formula_sum 'Nd36 Ni3 Hg18'
_symmetry_space_group_name_H-M 'R -3'
_symmetry_Int_Tables_number 148
_symmetry_space_group_name_Hall '-R 3'
_cell_length_a 12.3908
_cell_length_b 12.3908
_cell_length_c 13.5141
_cell_angle_alpha 90.00
_cell_angle_beta 90.00
_cell_angle_gamma 120.00
loop_
_atom_site_label
_atom_site_type_symbol
_atom_site_fract_x
_atom_site_fract_y
_atom_site_fract_z
Nd1 Nd 0.0375 0.1908 0.3770
Nd2 Nd 0.0379 0.8483 0.8885
Ni1 Ni 0.0000 0.0000 0.5000
Hg1 Hg 0.0037 0.6038 0.7556
```

=====

# 6
The following is a DFT calculation (PBE) of a relaxed Nd6Ni2Hg crystal.

Calculated formation energy: -256 meV/atom
Total moment: 0.00 Bohr magnetons per cell

Geometry as CIF:
```
data_Nd6Ni2Hg
_chemical_formula_sum 'Nd24 Ni8 Hg4'
_symmetry_space_group_name_H-M 'I m m m'
_symmetry_Int_Tables_number 71
_symmetry_space_group_name_Hall '-I 2 2'
_cell_length_a 9.497
_cell_length_b 10.148
_cell_length_c 10.415
_cell_angle_alpha 90.00
_cell_angle_beta 90.00
_cell_angle_gamma 90.00
loop_
_atom_site_label
_atom_site_type_symbol
_atom_site_fract_x
_atom_site_fract_y
_atom_site_fract_z
Nd1 Nd 0.000 0.200 0.229
Nd2 Nd 0.192 0.500 0.175
Nd3 Nd 0.206 0.319 0.500
Ni1 Ni 0.000 0.361 0.000
Ni2 Ni 0.000 0.500 0.379
Hg1 Hg 0.000 0.000 0.000
Hg2 Hg 0.000 0.000 0.500
```

=====

# 7
The following is a DFT calculation (PBE) of a relaxed NdNiHgPd crystal.

Calculated formation energy: -358 meV/atom
Total moment: 0.00 Bohr magnetons per cell

Geometry as CIF:
```
data_NdNiHgPd
_chemical_formula_sum 'Nd4 Ni4 Hg4 Pd4'
_symmetry_space_group_name_H-M 'F -4 3 m'
_symmetry_Int_Tables_number 216
_symmetry_space_group_name_Hall 'F -4 2 3'
_cell_length_a 6.806
_cell_length_b 6.806
_cell_length_c 6.806
_cell_angle_alpha 90.00
_cell_angle_beta 90.00
_cell_angle_gamma 90.00
loop_
_atom_site_label
_atom_site_type_symbol
_atom_site_fract_x
_atom_site_fract_y
_atom_site_fract_z
Nd1 Nd 0.000 0.000 0.000
Ni1 Ni 0.250 0.250 0.750
Hg1 Hg 0.000 0.000 0.500
Pd1 Pd 0.250 0.250 0.250
```

=====

# 8
The following is a DFT calculation (PBE) of a relaxed NdNiHgRh crystal.

Calculated formation energy: -245 meV/atom
Total moment: 0.00 Bohr magnetons per cell

Geometry as CIF:
```
data_NdNiHgRh
_chemical_formula_sum 'Nd4 Ni4 Hg4 Rh4'
_symmetry_space_group_name_H-M 'F -4 3 m'
_symmetry_Int_Tables_number 216
_symmetry_space_group_name_Hall 'F -4 2 3'
_cell_length_a 6.724
_cell_length_b 6.724
_cell_length_c 6.724
_cell_angle_alpha 90.00
_cell_angle_beta 90.00
_cell_angle_gamma 90.00
loop_
_atom_site_label
_atom_site_type_symbol
_atom_site_fract_x
_atom_site_fract_y
_atom_site_fract_z
Nd1 Nd 0.000 0.000 0.000
Ni1 Ni 0.250 0.250 0.250
Hg1 Hg 0.000 0.000 0.500
Rh1 Rh 0.250 0.250 0.750
```

=====

# 9
The following is a DFT calculation (PBE) of a relaxed NdNiSnHg crystal.

Calculated formation energy: -263 meV/atom
Total moment: 0.00 Bohr magnetons per cell

Geometry as CIF:
```
data_NdNiSnHg
_chemical_formula_sum 'Nd4 Ni4 Sn4 Hg4'
_symmetry_space_group_name_H-M 'F -4 3 m'
_symmetry_Int_Tables_number 216
_symmetry_space_group_name_Hall 'F -4 2 3'
_cell_length_a 7.082
_cell_length_b 7.082
_cell_length_c 7.082
_cell_angle_alpha 90.00
_cell_angle_beta 90.00
_cell_angle_gamma 90.00
loop_
_atom_site_label
_atom_site_type_symbol
_atom_site_fract_x
_atom_site_fract_y
_atom_site_fract_z
Nd1 Nd 0.000 0.000 0.000
Ni1 Ni 0.250 0.250 0.750
Sn1 Sn 0.000 0.000 0.500
Hg1 Hg 0.250 0.250 0.250
```

=====

# 10
The following is a DFT calculation (PBE) of a relaxed Nd2Ni4Sn3Hg crystal.

Calculated formation energy: -439 meV/atom
Total moment: 0.00 Bohr magnetons per cell

Geometry as CIF:
```
data_Nd2Ni4Sn3Hg
_chemical_formula_sum 'Nd2 Ni4 Sn3 Hg1'
_symmetry_space_group_name_H-M 'P -4 m 2'
_symmetry_Int_Tables_number 115
_cell_length_a 4.488
_cell_length_b 4.488
_cell_length_c 10.052
_cell_angle_alpha 90.00
_cell_angle_beta 90.00
_cell_angle_gamma 90.00
loop_
_symmetry_equiv_pos_as_xyz
'x,y,z'
'y,-x,-z'
'-x,-y,z'
'-y,x,-z'
'-x,y,z'
'-y,-x,-z'
'x,-y,z'
'y,x,-z'
loop_
_atom_site_label
_atom_site_type_symbol
_atom_site_fract_x
_atom_site_fract_y
_atom_site_fract_z
Nd1 Nd 0.000 0.500 0.238
Ni1 Ni 0.000 0.000 0.000
Ni2 Ni 0.000 0.500 0.629
Ni3 Ni 0.500 0.500 0.000
Sn1 Sn 0.000 0.500 0.876
Sn2 Sn 0.500 0.500 0.500
Hg1 Hg 0.000 0.000 0.500
```

=====

# 11
The following is a DFT calculation (PBE) of a relaxed TbNdNiHg crystal.

Calculated formation energy: -305 meV/atom
Total moment: 0.00 Bohr magnetons per cell

Geometry as CIF:
```
data_TbNdNiHg
_chemical_formula_sum 'Tb4 Nd4 Ni4 Hg4'
_symmetry_space_group_name_H-M 'F -4 3 m'
_symmetry_Int_Tables_number 216
_symmetry_space_group_name_Hall 'F -4 2 3'
_cell_length_a 7.279
_cell_length_b 7.279
_cell_length_c 7.279
_cell_angle_alpha 90.00
_cell_angle_beta 90.00
_cell_angle_gamma 90.00
loop_
_atom_site_label
_atom_site_type_symbol
_atom_site_fract_x
_atom_site_fract_y
_atom_site_fract_z
Tb1 Tb 0.000 0.000 0.000
Nd1 Nd 0.000 0.000 0.500
Ni1 Ni 0.250 0.250 0.750
Hg1 Hg 0.250 0.250 0.250
```

=====

# 12
The following is a DFT calculation (PBE) of a relaxed NdTmNiHg crystal.

Calculated formation energy: -313 meV/atom
Total moment: 0.00 Bohr magnetons per cell

Geometry as CIF:
```
data_NdTmNiHg
_chemical_formula_sum 'Nd4 Tm4 Ni4 Hg4'
_symmetry_space_group_name_H-M 'F -4 3 m'
_symmetry_Int_Tables_number 216
_symmetry_space_group_name_Hall 'F -4 2 3'
_cell_length_a 7.220
_cell_length_b 7.220
_cell_length_c 7.220
_cell_angle_alpha 90.00
_cell_angle_beta 90.00
_cell_angle_gamma 90.00
loop_
_atom_site_label
_atom_site_type_symbol
_atom_site_fract_x
_atom_site_fract_y
_atom_site_fract_z
Nd1 Nd 0.000 0.000 0.000
Tm1 Tm 0.000 0.000 0.500
Ni1 Ni 0.250 0.250 0.750
Hg1 Hg 0.250 0.250 0.250
```

=====

# 13
The following is a DFT calculation (PBE) of a relaxed NdYNiHg crystal.

Calculated formation energy: -310 meV/atom
Total moment: 0.00 Bohr magnetons per cell

Geometry as CIF:
```
data_NdYNiHg
_chemical_formula_sum 'Nd4 Y4 Ni4 Hg4'
_symmetry_space_group_name_H-M 'F -4 3 m'
_symmetry_Int_Tables_number 216
_symmetry_space_group_name_Hall 'F -4 2 3'
_cell_length_a 7.276
_cell_length_b 7.276
_cell_length_c 7.276
_cell_angle_alpha 90.00
_cell_angle_beta 90.00
_cell_angle_gamma 90.00
loop_
_atom_site_label
_atom_site_type_symbol
_atom_site_fract_x
_atom_site_fract_y
_atom_site_fract_z
Nd1 Nd 0.000 0.000 0.000
Y1 Y 0.000 0.000 0.500
Ni1 Ni 0.250 0.250 0.750
Hg1 Hg 0.250 0.250 0.250
```

=====

# 14
The following is a DFT calculation (PBE) of a relaxed Nd2NpHgO8 crystal.

Total energy: -7.554 eV per atom
Total moment: 0.93 Bohr magnetons per cell

Geometry as CIF:
```
data_Nd2NpHgO8
_chemical_formula_sum 'Nd2 Np1 Hg1 O8'
_symmetry_space_group_name_H-M 'P -1'
_symmetry_Int_Tables_number 2
_cell_length_a 4.090
_cell_length_b 5.370
_cell_length_c 8.083
_cell_angle_alpha 89.94
_cell_angle_beta 89.98
_cell_angle_gamma 82.49
loop_
_symmetry_equiv_pos_as_xyz
'x,y,z'
'-x,-y,-z'
loop_
_atom_site_label
_atom_site_type_symbol
_atom_site_fract_x
_atom_site_fract_y
_atom_site_fract_z
Nd1 Nd 0.000 0.000 0.244
Np1 Np 0.500 0.500 0.000
Hg1 Hg 0.500 0.500 0.500
O1 O 0.062 0.727 0.000
O2 O 0.080 0.760 0.500
O3 O 0.449 0.261 0.196
O4 O 0.449 0.262 0.803
```

=====

# 15
The following is a DFT calculation (PBE) of a relaxed Nd3Hg5O12 crystal.

Total energy: -4.962 eV per atom
Total moment: 0.01 Bohr magnetons per cell

Geometry as CIF:
```
data_Nd3Hg5O12
_chemical_formula_sum 'Nd24 Hg40 O96'
_symmetry_space_group_name_H-M 'I a -3 d'
_symmetry_Int_Tables_number 230
_symmetry_space_group_name_Hall '-I 4bd 2c 3'
_cell_length_a 13.598
_cell_length_b 13.598
_cell_length_c 13.598
_cell_angle_alpha 90.00
_cell_angle_beta 90.00
_cell_angle_gamma 90.00
loop_
_atom_site_label
_atom_site_type_symbol
_atom_site_fract_x
_atom_site_fract_y
_atom_site_fract_z
Nd1 Nd 0.000 0.250 0.125
Hg1 Hg 0.000 0.000 0.000
Hg2 Hg 0.000 0.250 0.375
O1 O 0.014 0.066 0.651
```

=====

# 16
The following is a DFT calculation (PBE) of a relaxed Nd3Hg2O2 crystal.

Total energy: -5.089 eV per atom
Total moment: 0.00 Bohr magnetons per cell

Geometry as CIF:
```
data_Nd3Hg2O2
_chemical_formula_sum 'Nd6 Hg4 O4'
_symmetry_space_group_name_H-M 'C 1 2/m 1'
_symmetry_Int_Tables_number 12
_cell_length_a 10.361
_cell_length_b 4.908
_cell_length_c 6.689
_cell_angle_alpha 90.00
_cell_angle_beta 103.92
_cell_angle_gamma 90.00
loop_
_symmetry_equiv_pos_as_xyz
'x,y,z'
'-x,-y,-z'
'-x,y,-z'
'x,-y,z'
'x+1/2,y+1/2,z'
'-x+1/2,-y+1/2,-z'
'-x+1/2,y+1/2,-z'
'x+1/2,-y+1/2,z'
loop_
_atom_site_label
_atom_site_type_symbol
_atom_site_fract_x
_atom_site_fract_y
_atom_site_fract_z
Nd1 Nd 0.000 0.000 0.000
Nd2 Nd 0.162 0.500 0.359
Hg1 Hg 0.162 0.500 0.879
O1 O 0.155 0.000 0.354
```

=====

# 17
The following is a DFT calculation (PBE) of a relaxed Nd2HgO crystal.

Relative energy among the computed polymorphs: 0 meV/atom
Total moment: 0.00 Bohr magnetons per cell

Geometry as CIF:
```
data_Nd2HgO
_chemical_formula_sum 'Nd8 Hg4 O4'
_symmetry_space_group_name_H-M 'P n m a'
_symmetry_Int_Tables_number 62
_cell_length_a 7.202
_cell_length_b 3.966
_cell_length_c 14.428
_cell_angle_alpha 90.00
_cell_angle_beta 90.00
_cell_angle_gamma 90.00
loop_
_symmetry_equiv_pos_as_xyz
'x,y,z'
'-x,-y,-z'
'-x+1/2,-y,z+1/2'
'x+1/2,y,-z+1/2'
'x+1/2,-y+1/2,-z+1/2'
'-x+1/2,y+1/2,z+1/2'
'-x,y+1/2,-z'
'x,-y+1/2,z'
loop_
_atom_site_label
_atom_site_type_symbol
_atom_site_fract_x
_atom_site_fract_y
_atom_site_fract_z
Nd1 Nd 0.053 0.250 0.235
Nd2 Nd 0.247 0.250 0.939
Hg1 Hg 0.189 0.250 0.621
O1 O 0.219 0.750 0.858
```

=====

# 18
The following is a DFT calculation (PBE) of a relaxed Nd4Hg2O crystal.

Relative energy among the computed polymorphs: 18 meV/atom
Total moment: 1.40 Bohr magnetons per cell

Geometry as CIF:
```
data_Nd4Hg2O
_chemical_formula_sum 'Nd8 Hg4 O2'
_symmetry_space_group_name_H-M 'P 1 21/m 1'
_symmetry_Int_Tables_number 11
_cell_length_a 7.196
_cell_length_b 7.181
_cell_length_c 8.240
_cell_angle_alpha 90.00
_cell_angle_beta 106.04
_cell_angle_gamma 90.00
loop_
_symmetry_equiv_pos_as_xyz
'x,y,z'
'-x,-y,-z'
'-x,y+1/2,-z'
'x,-y+1/2,z'
loop_
_atom_site_label
_atom_site_type_symbol
_atom_site_fract_x
_atom_site_fract_y
_atom_site_fract_z
Nd1 Nd 0.001 0.007 0.243
Nd2 Nd 0.392 0.250 0.584
Nd3 Nd 0.417 0.250 0.119
Hg1 Hg 0.233 0.750 0.546
Hg2 Hg 0.254 0.750 0.075
O1 O 0.227 0.250 0.304
```

=====

# 19
The following is a DFT calculation (PBE) of a relaxed Nd7Hg3O2 crystal.

Total energy: -4.833 eV per atom
Total moment: 0.00 Bohr magnetons per cell

Geometry as CIF:
```
data_Nd7Hg3O2
_chemical_formula_sum 'Nd14 Hg6 O4'
_symmetry_space_group_name_H-M 'C m m m'
_symmetry_Int_Tables_number 65
_symmetry_space_group_name_Hall '-C 2 2'
_cell_length_a 4.991
_cell_length_b 24.464
_cell_length_c 4.912
_cell_angle_alpha 90.00
_cell_angle_beta 90.00
_cell_angle_gamma 90.00
loop_
_atom_site_label
_atom_site_type_symbol
_atom_site_fract_x
_atom_site_fract_y
_atom_site_fract_z
Nd1 Nd 0.000 0.000 0.000
Nd2 Nd 0.000 0.099 0.500
Nd3 Nd 0.000 0.204 0.000
Nd4 Nd 0.000 0.398 0.000
Hg1 Hg 0.000 0.302 0.500
Hg2 Hg 0.000 0.500 0.500
O1 O 0.000 0.102 0.000
```